[1]
Here is a relaxed structure of Na2Zn3S4 from Alexandria. Energies are from GGA-PBEsol.

Structure (POSCAR):
```
Na2Zn3S4
1.0
-1.967 5.422 0.641
-8.075 -0.154 2.795
-0.251 2.033 8.297
S Na Zn
8 4 6
Direct
0.634 0.770 0.507
0.134 0.007 0.270
0.366 0.230 0.493
0.589 0.270 0.007
0.866 0.993 0.730
0.911 0.493 0.230
0.411 0.730 0.993
0.089 0.507 0.770
0.753 0.376 0.624
0.747 0.876 0.124
0.247 0.624 0.376
0.253 0.124 0.876
0.250 0.250 0.250
0.250 0.965 0.535
0.250 0.535 0.965
0.750 0.750 0.750
0.750 0.465 0.035
0.750 0.035 0.465
```

- DOS(E_F) (states/eV/f.u.) = 0.00
- density (Mg/m³) = 3.39
- raw formation energy (eV per formula unit) = -7.56
- total magnetization (Bohr magnetons per cell) = 0.00
- distance to the lowest polymorph of the same formula (kJ/mol of atoms) = 0.0

[2]
Here is a relaxed structure of Na4Zn3S5 from Alexandria. Energies are from GGA-PBEsol.

Structure (POSCAR):
```
Na4Zn3S5
1.0
-2.691 2.273 1.600
-8.113 -2.665 -9.859
-6.652 -14.485 9.389
Na S Zn
16 20 12
Direct
0.250 0.988 0.238
0.250 0.512 0.918
0.750 0.012 0.762
0.250 0.104 0.048
0.250 0.763 0.336
0.750 0.237 0.664
0.750 0.512 0.738
0.750 0.488 0.082
0.250 0.488 0.262
0.250 0.263 0.164
0.750 0.737 0.836
0.750 0.988 0.418
0.750 0.896 0.952
0.250 0.012 0.582
0.750 0.396 0.548
0.250 0.604 0.452
0.750 0.099 0.162
0.250 0.841 0.478
0.750 0.380 0.847
0.750 0.880 0.653
0.250 0.385 0.435
0.750 0.159 0.522
0.250 0.885 0.065
0.250 0.341 0.022
0.750 0.843 0.247
0.250 0.901 0.838
0.750 0.599 0.338
0.750 0.343 0.253
0.250 0.157 0.753
0.250 0.620 0.153
0.250 0.657 0.747
0.250 0.120 0.347
0.750 0.615 0.565
0.750 0.115 0.935
0.250 0.401 0.662
0.750 0.659 0.978
0.250 0.708 0.042
0.250 0.828 0.718
0.750 0.918 0.133
0.750 0.672 0.218
0.250 0.328 0.782
0.750 0.792 0.542
0.250 0.082 0.867
0.750 0.292 0.958
0.250 0.208 0.458
0.750 0.418 0.367
0.250 0.582 0.633
0.750 0.172 0.282
```

- DOS(E_F) (states/eV/f.u.) = 0.00
- density (Mg/m³) = 3.19
- raw formation energy (eV per formula unit) = -11.56
- total magnetization (Bohr magnetons per cell) = 0.00

[3]
Here is a relaxed structure of Na2Zn2S3 from Alexandria. Energies are from GGA-PBEsol.

Structure (POSCAR):
```
Na2Zn2S3
1.0
-0.763 6.280 1.908
-1.431 0.324 9.650
8.701 3.794 2.276
Zn Na S
8 8 12
Direct
0.740 0.917 0.452
0.760 0.548 0.083
0.201 0.792 0.639
0.299 0.361 0.208
0.799 0.208 0.361
0.701 0.639 0.792
0.240 0.452 0.917
0.260 0.083 0.548
0.750 0.569 0.431
0.250 0.431 0.569
0.750 0.283 0.717
0.873 0.189 0.018
0.127 0.811 0.982
0.250 0.717 0.283
0.373 0.018 0.189
0.627 0.982 0.811
0.945 0.422 0.853
0.445 0.853 0.422
0.059 0.007 0.768
0.441 0.232 0.993
0.074 0.272 0.420
0.555 0.147 0.578
0.559 0.768 0.007
0.926 0.728 0.580
0.426 0.580 0.728
0.055 0.578 0.147
0.574 0.420 0.272
0.941 0.993 0.232
```

- DOS(E_F) (states/eV/f.u.) = 0.00
- density (Mg/m³) = 3.24
- raw formation energy (eV per formula unit) = -6.58
- total magnetization (Bohr magnetons per cell) = 0.00
- distance to the lowest polymorph of the same formula (kJ/mol of atoms) = 0.0

[4]
Here is a relaxed structure of Na2Zn3S4 from Alexandria. Energies are from GGA-PBEsol.

Structure (POSCAR):
```
Na2Zn3S4
1.0
6.743 0.000 0.000
0.000 7.148 0.000
0.000 0.000 14.325
S Zn Na
16 12 8
Direct
0.729 0.196 0.454
0.021 0.874 0.783
0.271 0.304 0.954
0.771 0.196 0.954
0.479 0.374 0.217
0.271 0.804 0.546
0.521 0.126 0.717
0.479 0.874 0.283
0.979 0.626 0.283
0.521 0.626 0.783
0.979 0.126 0.217
0.021 0.374 0.717
0.229 0.804 0.046
0.771 0.696 0.546
0.229 0.304 0.454
0.729 0.696 0.046
0.171 0.350 0.295
0.000 0.000 0.000
0.329 0.850 0.705
0.829 0.650 0.705
0.671 0.150 0.295
0.671 0.650 0.205
0.171 0.850 0.205
0.329 0.350 0.795
0.000 0.500 0.500
0.500 0.500 0.000
0.500 0.000 0.500
0.829 0.150 0.795
0.470 0.940 0.900
0.970 0.060 0.600
0.530 0.060 0.100
0.530 0.560 0.400
0.470 0.440 0.600
0.030 0.940 0.400
0.030 0.440 0.100
0.970 0.560 0.900
```

- DOS(E_F) (states/eV/f.u.) = 0.00
- density (Mg/m³) = 3.56
- raw formation energy (eV per formula unit) = -7.48
- total magnetization (Bohr magnetons per cell) = 0.00
- distance to the lowest polymorph of the same formula (kJ/mol of atoms) = 0.9

[5]
Here is a relaxed structure of Na2ZrS from Alexandria. Energies are from GGA-PBEsol.

Structure (POSCAR):
```
Na2ZrS
1.0
-0.960 4.742 1.202
-6.269 1.861 -2.013
-2.844 0.472 6.206
Na S Zr
4 2 2
Direct
0.212 0.913 0.413
0.875 0.587 0.913
0.538 0.087 0.587
0.375 0.413 0.087
0.500 0.000 0.000
0.250 0.500 0.500
0.750 0.500 0.500
0.000 0.000 0.000
```

- DOS(E_F) (states/eV/f.u.) = 2.51
- density (Mg/m³) = 2.78
- raw formation energy (eV per formula unit) = -0.38
- total magnetization (Bohr magnetons per cell) = 3.61

[6]
Here is a relaxed structure of Na19Zr11S30 from Alexandria. Energies are from GGA-PBEsol.

Structure (POSCAR):
```
Na19Zr11S30
1.0
-0.301 4.258 10.049
-8.731 -6.715 2.584
10.665 -4.385 -0.125
Zr S Na
11 30 19
Direct
0.199 0.733 0.801
0.000 0.000 0.000
0.398 0.132 0.603
0.398 0.471 0.603
0.602 0.868 0.397
0.602 0.529 0.397
0.801 0.267 0.199
0.801 0.932 0.199
0.199 0.068 0.801
0.000 0.336 0.000
0.000 0.664 0.000
0.046 0.590 0.179
0.954 0.410 0.821
0.236 0.993 0.986
0.836 0.875 0.389
0.369 0.525 0.410
0.631 0.475 0.590
0.037 0.925 0.184
0.164 0.125 0.611
0.037 0.258 0.184
0.164 0.486 0.611
0.963 0.075 0.816
0.431 0.721 0.794
0.963 0.742 0.816
0.369 0.884 0.410
0.764 0.007 0.014
0.569 0.279 0.206
0.836 0.514 0.389
0.232 0.678 0.993
0.447 0.388 0.777
0.848 0.187 0.374
0.553 0.612 0.223
0.353 0.214 0.429
0.768 0.684 0.007
0.647 0.786 0.571
0.232 0.316 0.993
0.768 0.322 0.007
0.431 0.074 0.794
0.569 0.926 0.206
0.631 0.116 0.590
0.152 0.813 0.626
0.102 0.538 0.398
0.500 0.342 0.000
0.799 0.599 0.198
0.700 0.400 0.799
0.102 0.204 0.408
0.500 0.658 0.000
0.694 0.057 0.795
0.300 0.600 0.201
0.898 0.462 0.602
0.898 0.140 0.602
0.600 0.200 0.401
0.102 0.860 0.398
0.201 0.401 0.802
0.306 0.261 0.205
0.898 0.796 0.592
0.500 0.000 0.000
0.306 0.943 0.205
0.694 0.739 0.795
0.400 0.800 0.599
```

- DOS(E_F) (states/eV/f.u.) = 15.31
- density (Mg/m³) = 3.29
- raw formation energy (eV per formula unit) = -89.11
- total magnetization (Bohr magnetons per cell) = 0.01

[7]
Here is a relaxed structure of Na2ZrS3 from Alexandria. Energies are from GGA-PBEsol.

Structure (POSCAR):
```
Na2ZrS3
1.0
-6.311 0.015 1.919
-4.798 -0.961 -4.434
-1.827 -6.431 1.711
Zr S Na
2 6 4
Direct
0.332 0.337 0.000
0.668 0.663 0.000
0.714 0.000 0.778
0.436 0.639 0.777
0.925 0.639 0.223
0.286 0.000 0.222
0.075 0.361 0.777
0.564 0.361 0.223
0.000 0.000 0.000
0.842 0.316 0.500
0.500 0.000 0.500
0.158 0.684 0.500
```

- DOS(E_F) (states/eV/f.u.) = 0.00
- density (Mg/m³) = 3.15
- raw formation energy (eV per formula unit) = -8.86
- total magnetization (Bohr magnetons per cell) = 0.00

[8]
Here is a relaxed structure of NaSb from Alexandria. Energies are from GGA-PBEsol.

Structure (POSCAR):
```
NaSb
1.0
6.332 0.000 0.000
0.000 6.718 0.001
0.000 1.011 10.981
Sb Na
8 8
Direct
0.840 0.816 0.897
0.340 0.684 0.603
0.403 0.490 0.202
0.660 0.316 0.397
0.903 0.010 0.298
0.597 0.510 0.798
0.160 0.184 0.103
0.097 0.990 0.702
0.838 0.692 0.541
0.902 0.597 0.174
0.098 0.403 0.826
0.662 0.192 0.041
0.162 0.308 0.459
0.402 0.903 0.326
0.598 0.097 0.674
0.338 0.808 0.959
```

- density (Mg/m³) = 4.12
- raw formation energy (eV per formula unit) = -0.62
- total magnetization (Bohr magnetons per cell) = 0.00

[9]
Here is a relaxed structure of NaSc2Sb from Alexandria. Energies are from GGA-PBEsol.

Structure (POSCAR):
```
NaSc2Sb
1.0
-1.340 -2.876 -0.761
1.545 -2.772 0.759
-5.352 -2.083 10.297
Sc Na Sb
2 1 1
Direct
0.919 0.919 0.244
0.081 0.081 0.756
0.500 0.500 0.500
0.000 0.000 0.000
```

- DOS(E_F) (states/eV/f.u.) = 5.74
- density (Mg/m³) = 3.63
- raw formation energy (eV per formula unit) = 0.96
- total magnetization (Bohr magnetons per cell) = 0.00

[10]
Here is a relaxed structure of NaSc3Sb from Alexandria. Energies are from GGA-PBEsol.

Structure (POSCAR):
```
NaSc3Sb
1.0
5.420 0.000 0.000
0.000 5.420 0.000
0.000 0.000 5.420
Sc Na Sb
3 1 1
Direct
0.500 0.000 0.000
0.000 0.500 0.000
0.000 0.000 0.500
0.500 0.500 0.500
0.000 0.000 0.000
```

- DOS(E_F) (states/eV/f.u.) = 8.37
- density (Mg/m³) = 2.92
- raw formation energy (eV per formula unit) = 1.19
- total magnetization (Bohr magnetons per cell) = 2.51

[11]
Here is a relaxed structure of NaSi3Sb from Alexandria. Energies are from GGA-PBEsol.

Structure (POSCAR):
```
NaSi3Sb
1.0
-1.424 -4.436 -2.287
4.283 0.134 -2.928
2.562 -2.691 3.624
Si Na Sb
3 1 1
Direct
0.000 0.500 0.000
0.000 0.000 0.500
0.500 0.000 0.000
0.500 0.500 0.500
0.000 0.000 0.000
```

- DOS(E_F) (states/eV/f.u.) = 2.60
- density (Mg/m³) = 2.72
- raw formation energy (eV per formula unit) = 5.29
- total magnetization (Bohr magnetons per cell) = 0.00

[12]
Here is a relaxed structure of Na2SiSb from Alexandria. Energies are from GGA-PBEsol.

Structure (POSCAR):
```
Na2SiSb
1.0
5.387 0.000 0.000
2.694 6.114 0.000
2.694 0.000 6.114
Sb Si Na
2 2 4
Direct
0.750 0.500 0.500
0.000 0.000 0.000
0.500 0.000 0.000
0.250 0.500 0.500
0.875 0.530 0.970
0.375 0.470 0.030
0.595 0.030 0.530
0.155 0.970 0.470
```

- DOS(E_F) (states/eV/f.u.) = 1.78
- density (Mg/m³) = 3.23
- raw formation energy (eV per formula unit) = 0.90
- total magnetization (Bohr magnetons per cell) = 0.00